Record 1
LiTaAu2: PBEsol geometry, SCAN.

Cell and atoms, written as POSCAR:
```
LiTaAu2
1.0
4.8110 -1.3832 0.0000
4.8110 1.3832 0.0000
-0.5402 0.0000 4.9272
Li Ta Au
1 1 2
direct
0.0000 0.0000 0.0000
0.2314 0.2314 0.6518
0.4888 0.4888 0.4887
0.7450 0.7450 0.1481
```

Output
E_tot (eV/atom): -52.127

Record 2
LiTaAu: PBEsol geometry, SCAN.

Cell and atoms, written as POSCAR:
```
LiTaAu
1.0
0.0000 2.2020 7.0548
1.6045 0.0000 7.0548
1.6045 2.2020 0.0000
Li Ta Au
1 1 1
direct
0.0000 0.0000 0.0000
0.6799 0.6799 0.3201
0.3465 0.3465 0.6535
```

Output
Energy above the most stable polymorph in this dataset (meV/atom): 53

Record 3
LiTa2Au: PBEsol geometry, SCAN.

Cell and atoms, written as POSCAR:
```
LiTa2Au
1.0
0.0000 3.2054 3.2054
3.2054 0.0000 3.2054
3.2054 3.2054 0.0000
Li Ta Au
1 2 1
direct
0.0000 0.0000 0.0000
0.2500 0.2500 0.2500
0.5000 0.5000 0.5000
0.7500 0.7500 0.7500
```

Output
Energy above the most stable polymorph in this dataset (meV/atom): 228

Record 4
LiTa2Au: PBEsol geometry, SCAN.

Cell and atoms, written as POSCAR:
```
LiTa2Au
1.0
1.4194 0.8195 10.0103
-1.4194 0.8195 10.0103
0.0000 -1.6390 10.0103
Li Ta Au
1 2 1
direct
0.0000 0.0000 0.0000
0.2466 0.2466 0.2466
0.7534 0.7534 0.7534
0.5000 0.5000 0.5000
```

Output
Energy above the most stable polymorph in this dataset (meV/atom): 214

Record 5
LiTaAu: PBEsol geometry, SCAN.

Cell and atoms, written as POSCAR:
```
LiTaAu
1.0
-1.3584 2.1239 4.0831
1.3584 -2.1239 4.0831
1.3584 2.1239 -4.0831
Li Ta Au
1 1 1
direct
0.0000 0.0000 0.0000
0.6744 0.6744 0.0000
0.3388 0.3388 0.0000
```

Output
Energy above the most stable polymorph in this dataset (meV/atom): 0

Record 6
Li2TcAu: PBEsol geometry, SCAN.

Cell and atoms, written as POSCAR:
```
Li2TcAu
1.0
4.5955 -1.2992 0.0000
4.5955 1.2992 0.0000
-0.8056 0.0000 4.8265
Li Tc Au
2 1 1
direct
0.2474 0.2474 0.2573
0.7526 0.7526 0.7427
0.0000 0.0000 0.5000
0.5000 0.5000 0.0000
```

Output
Energy above the most stable polymorph in this dataset (meV/atom): 0

Record 7
Li2TcAu: PBEsol geometry, SCAN.

Cell and atoms, written as POSCAR:
```
Li2TcAu
1.0
2.5742 0.0000 0.0000
0.0000 4.5166 0.0000
-0.1732 0.0000 4.9586
Li Tc Au
2 1 1
direct
0.1652 0.0000 0.2372
0.8348 0.0000 0.7628
0.5000 0.5000 0.0000
0.0000 0.5000 0.5000
```

Output
Energy above the most stable polymorph in this dataset (meV/atom): 14

Record 8
Li2TcAu2: PBEsol geometry, SCAN.

Cell and atoms, written as POSCAR:
```
Li2TcAu2
1.0
-2.2378 2.2378 3.6900
2.2378 -2.2378 3.6900
2.2378 2.2378 -3.6900
Li Tc Au
2 1 2
direct
0.1319 0.1319 0.0000
0.8681 0.8681 0.0000
0.5000 0.5000 0.0000
0.2500 0.7500 0.5000
0.7500 0.2500 0.5000
```

Output
E_tot (eV/atom): -35.431

Repeat the second record exactly.
LiTaAu: PBEsol geometry, SCAN.

Cell and atoms, written as POSCAR:
```
LiTaAu
1.0
0.0000 2.2020 7.0548
1.6045 0.0000 7.0548
1.6045 2.2020 0.0000
Li Ta Au
1 1 1
direct
0.0000 0.0000 0.0000
0.6799 0.6799 0.3201
0.3465 0.3465 0.6535
```

Output
Energy above the most stable polymorph in this dataset (meV/atom): 53